A geometry-optimized NaFe2PtF structure, computed with PBE with a Hubbard U.

Lattice parameters (Å, degrees): 4.1964 4.1964 5.2465 90.00 90.00 90.00
Last column: nearest neighbours and their distance in Å.
Space group P4/mmm (No. 123)
Inequivalent atoms, fractional coordinates:
Na: 0.0000 0.0000 0.0000 [1 per cell]  4 Pt 2.97
Fe: 0.0000 0.5000 0.5000 [2 per cell]  2 F 2.10
Pt: 0.5000 0.5000 0.0000 [1 per cell]  2 F 2.62
F: 0.5000 0.5000 0.5000 [1 per cell]  4 Fe 2.10

Properties
Size of the total moment ... 7.73 μB per cell
Density of states at the Fermi level ... 1.35 states/eV/cell
Final energy ... -3.907 eV/atom